Entry 1:
A plane-wave DFT calculation with GGA-PBE was carried out for a relaxed structure of Sr2Sb3Pt9.

Lattice parameters (Å, degrees): 14.161 8.175 10.644 90.00 117.64 90.00
Space group C2/c (No. 15)
Inequivalent atoms, fractional coordinates:
Sr1 0.173 0.086 0.248 [8 per cell]
Sb1 0.088 0.219 0.493 [8 per cell]
Sb2 0.250 0.250 0.000 [4 per cell]
Pt1 0.000 0.378 0.250 [4 per cell]
Pt2 0.058 0.093 0.910 [8 per cell]
Pt3 0.098 0.327 0.733 [8 per cell]
Pt4 0.098 0.411 0.056 [8 per cell]
Pt5 0.218 0.420 0.424 [8 per cell]

Summary:
Formation energy (no corrections)   -12.39 kcal/mol of atoms
Total DFT energy (no corrections)   -5.544 eV per atom

---

Entry 2:
A plane-wave DFT calculation with GGA-PBE was carried out for a relaxed structure of SrSbPt3.

Lattice parameters (Å, degrees): 5.041 5.041 5.041 90.00 90.00 90.00
Space group Pm-3m (No. 221)
Inequivalent atoms, fractional coordinates:
Sr1 0.000 0.000 0.000 [1 per cell]
Sb1 0.500 0.500 0.500 [1 per cell]
Pt1 0.000 0.500 0.500 [3 per cell]

Summary:
Formation energy (no corrections)   -4.55 kcal/mol of atoms
Energy relative to the lowest polymorph listed for this composition   100 meV per atom
Total DFT energy (no corrections)   -4.983 eV per atom

---

Entry 3:
A plane-wave DFT calculation with GGA-PBE was carried out for a relaxed structure of SrSb2Pt.

Lattice parameters (Å, degrees): 5.027 4.588 5.188 90.00 101.26 90.00
Space group Pm (No. 6)
Inequivalent atoms, fractional coordinates:
Sr1 0.000 0.000 0.000 [1 per cell]
Sb1 0.381 0.000 0.577 [1 per cell]
Sb2 0.678 0.500 0.366 [1 per cell]
Pt1 0.510 0.500 0.852 [1 per cell]

Summary:
Formation energy (no corrections)   -12.91 kcal/mol of atoms
Total DFT energy (no corrections)   -4.552 eV per atom

---

Entry 4:
A plane-wave DFT calculation with GGA-PBE was carried out for a relaxed structure of SrSbPt3.

Lattice parameters (Å, degrees): 5.858 8.448 5.101 90.00 90.00 90.00
Space group Pbam (No. 55)
Inequivalent atoms, fractional coordinates:
Sr1 0.000 0.000 0.000 [2 per cell]
Sb1 0.000 0.500 0.500 [2 per cell]
Pt1 0.000 0.500 0.000 [2 per cell]
Pt2 0.245 0.248 0.500 [4 per cell]

Summary:
Formation energy (no corrections)   -6.86 kcal/mol of atoms
Energy relative to the lowest polymorph listed for this composition   0 meV per atom
Total DFT energy (no corrections)   -5.083 eV per atom

---

Entry 5:
A plane-wave DFT calculation with GGA-PBE was carried out for a relaxed structure of SrSbPt4.

Lattice parameters (Å, degrees): 7.766 7.766 7.766 90.00 90.00 90.00
Space group F-43m (No. 216)
Inequivalent atoms, fractional coordinates:
Sr1 0.000 0.000 0.000 [4 per cell]
Sb1 0.250 0.250 0.250 [4 per cell]
Pt1 0.125 0.125 0.625 [16 per cell]

Summary:
Formation energy (no corrections)   -11.04 kcal/mol of atoms
Total DFT energy (no corrections)   -5.473 eV per atom

---

Entry 6:
A plane-wave DFT calculation with GGA-PBE was carried out for a relaxed structure of Sr3SbPt3.

Lattice parameters (Å, degrees): 11.422 4.505 15.502 90.00 110.88 90.00
Space group C2/m (No. 12)
Inequivalent atoms, fractional coordinates:
Sr1 0.018 0.000 0.377 [4 per cell]
Sr2 0.104 0.000 0.926 [4 per cell]
Sr3 0.245 0.000 0.222 [4 per cell]
Sb1 0.236 0.500 0.402 [4 per cell]
Pt1 0.051 0.500 0.233 [4 per cell]
Pt2 0.109 0.500 0.077 [4 per cell]
Pt3 0.132 0.500 0.542 [4 per cell]

Summary:
Formation energy (no corrections)   -18.85 kcal/mol of atoms
Total DFT energy (no corrections)   -4.716 eV per atom

---

Entry 7:
A plane-wave DFT calculation with GGA-PBE was carried out for a relaxed structure of SrSb2Pt.

Lattice parameters (Å, degrees): 8.422 8.422 6.180 90.00 90.00 90.00
Space group I-42d (No. 122)
Inequivalent atoms, fractional coordinates:
Sr1 0.000 0.000 0.000 [4 per cell]
Sb1 0.180 0.250 0.625 [8 per cell]
Pt1 0.000 0.000 0.500 [4 per cell]

Summary:
Formation energy (no corrections)   -14.58 kcal/mol of atoms
Total DFT energy (no corrections)   -4.624 eV per atom

---

Entry 8:
A plane-wave DFT calculation with GGA-PBE was carried out for a relaxed structure of SrSbPt2.

Lattice parameters (Å, degrees): 6.670 6.907 3.747 90.00 90.00 90.00
Space group Cmmm (No. 65)
Inequivalent atoms, fractional coordinates:
Sr1 0.000 0.000 0.000 [2 per cell]
Sb1 0.000 0.500 0.000 [2 per cell]
Pt1 0.250 0.250 0.500 [4 per cell]

Summary:
Formation energy (no corrections)   -10.46 kcal/mol of atoms
Total DFT energy (no corrections)   -4.925 eV per atom